1.
TbU4 after structural relaxation. Source: Alexandria via LeMat-Bulk, functional PBE.

Results
Crystal system: cubic
N(E_F) (states/eV per cell): 25.8
Formation energy (eV/atom): 1.922
Symmetry: Pm-3m (221)

abc: 5.300 5.300 5.300
angles: 90.00 90.00 90.00
Fractional positions:
U  0.500  0.000  0.500
U  0.000  0.000  0.000
U  0.000  0.500  0.500
U  0.500  0.500  0.000
Tb  0.500  0.500  0.500


2.
Y4CoRe after structural relaxation. Source: Alexandria via LeMat-Bulk, functional PBE.

Results
Crystal system: cubic
N(E_F) (states/eV per cell): 10.2
Formation energy (eV/atom): 1.206
Symmetry: F-43m (216)

abc: 5.903 5.903 5.903
angles: 60.00 60.00 60.00
Fractional positions:
Re  0.000  0.000  0.000
Y  0.374  0.374  0.877
Y  0.374  0.374  0.374
Y  0.877  0.374  0.374
Y  0.374  0.877  0.374
Co  0.750  0.750  0.750


3.
MnBeNi6 after structural relaxation. Source: Alexandria via LeMat-Bulk, functional PBE.

Results
Crystal system: tetragonal
N(E_F) (states/eV per cell): 7.6
Formation energy (eV/atom): -0.135
Symmetry: P4/mmm (123)

abc: 3.521 3.521 6.884
angles: 90.00 90.00 90.00
Fractional positions:
Mn  0.000  0.000  0.000
Be  0.000  0.000  0.500
Ni  0.500  0.500  0.500
Ni  0.500  0.000  0.262
Ni  0.000  0.500  0.738
Ni  0.000  0.500  0.262
Ni  0.500  0.000  0.738
Ni  0.500  0.500  0.000


4.
NaLiNiSn2 after structural relaxation. Source: Alexandria via LeMat-Bulk, functional PBE.

Results
Crystal system: tetragonal
N(E_F) (states/eV per cell): 3.2
Formation energy (eV/atom): -0.127
Symmetry: P4/mmm (123)

abc: 4.908 4.908 4.925
angles: 90.00 90.00 90.00
Fractional positions:
Na  0.500  0.500  0.500
Li  0.000  0.000  0.500
Sn  0.500  0.000  0.000
Sn  0.000  0.500  0.000
Ni  0.000  0.000  0.000


5.
SrY2Mg after structural relaxation. Source: Alexandria via LeMat-Bulk, functional PBE.

Results
Crystal system: tetragonal
N(E_F) (states/eV per cell): 5.3
Formation energy (eV/atom): 0.168
Symmetry: I-4m2 (119)

abc: 6.146 6.146 6.146
angles: 129.55 129.55 74.13
Fractional positions:
Sr  0.750  0.250  0.500
Mg  0.500  0.500  0.000
Y  0.000  0.000  0.000
Y  0.250  0.750  0.500


6.
BeNiIr after structural relaxation. Source: Alexandria via LeMat-Bulk, functional PBE.

Results
Crystal system: tetragonal
N(E_F) (states/eV per cell): 4.0
Formation energy (eV/atom): -0.278
Symmetry: I4mm (107)

abc: 4.860 4.860 4.860
angles: 147.48 147.48 46.65
Fractional positions:
Ir  0.348  0.348  0.000
Ni  0.647  0.647  0.000
Be  0.005  0.005  0.000


7.
ScGa2W after structural relaxation. Source: Alexandria via LeMat-Bulk, functional PBE.

Results
Crystal system: cubic
N(E_F) (states/eV per cell): 4.0
Formation energy (eV/atom): -0.039
Symmetry: Fm-3m (225)

abc: 4.547 4.547 4.547
angles: 60.00 60.00 60.00
Fractional positions:
Ga  0.250  0.250  0.250
Ga  0.750  0.750  0.750
Sc  0.000  0.000  0.000
W  0.500  0.500  0.500


8.
SbTe2Rh8 after structural relaxation. Source: Alexandria via LeMat-Bulk, functional PBE.

Results
Crystal system: orthorhombic
N(E_F) (states/eV per cell): 11.6
Symmetry: Immm (71)
Formation energy without anion corrections (kJ per mole of atoms): -14.0

abc: 4.078 7.242 7.404
angles: 119.28 105.99 90.00
Fractional positions:
Rh  0.332  0.095  0.664
Rh  0.854  0.854  0.709
Rh  0.146  0.146  0.291
Rh  0.668  0.905  0.336
Rh  0.000  0.291  0.000
Rh  0.000  0.709  0.000
Rh  0.668  0.431  0.336
Rh  0.332  0.569  0.664
Sb  0.500  0.000  0.000
Te  0.827  0.327  0.653
Te  0.173  0.673  0.347


9.
KPRu after structural relaxation. Source: Alexandria via LeMat-Bulk, functional PBE.

Results
Crystal system: triclinic
N(E_F) (states/eV per cell): 2.4
Formation energy (eV/atom): -0.572
Symmetry: P-1 (2)

abc: 11.235 4.049 4.064
angles: 90.00 111.53 78.93
Fractional positions:
P  0.464  0.946  0.864
P  0.689  0.326  0.592
K  0.293  0.536  0.191
K  0.859  0.735  0.265
Ru  0.577  0.385  0.979
Ru  0.576  0.886  0.477


10.
Ca2La2Pd15 after structural relaxation. Source: Alexandria via LeMat-Bulk, functional PBE.

Results
Crystal system: trigonal
N(E_F) (states/eV per cell): 18.3
Formation energy (eV/atom): -0.531
Symmetry: R-3m (166)

abc: 7.128 7.128 7.128
angles: 81.41 81.41 81.41
Fractional positions:
Pd  0.686  0.314  0.000
Pd  0.000  0.686  0.314
Pd  0.314  0.686  0.000
Pd  0.653  0.653  0.163
Pd  0.000  0.000  0.500
Pd  0.500  0.000  0.000
Pd  0.837  0.347  0.347
Pd  0.000  0.314  0.686
Pd  0.000  0.500  0.000
Pd  0.347  0.347  0.837
Pd  0.347  0.837  0.347
Pd  0.686  0.000  0.314
Pd  0.163  0.653  0.653
Pd  0.653  0.163  0.653
Pd  0.314  0.000  0.686
Ca  0.103  0.103  0.103
Ca  0.897  0.897  0.897
La  0.357  0.357  0.357
La  0.643  0.643  0.643


11.
Tb4SiBr5 after structural relaxation. Source: Alexandria via LeMat-Bulk, functional PBE.

Results
Crystal system: monoclinic
N(E_F) (states/eV per cell): 3.7
Symmetry: C2/m (12)
Formation energy without anion corrections (kJ per mole of atoms): -138.1

abc: 4.059 8.389 9.907
angles: 89.78 101.82 90.00
Fractional positions:
Tb  0.000  0.223  0.000
Tb  0.364  0.001  0.727
Tb  0.000  0.777  0.000
Tb  0.636  0.999  0.273
Br  0.156  0.756  0.312
Br  0.844  0.758  0.688
Br  0.500  0.500  0.000
Br  0.156  0.242  0.312
Br  0.844  0.244  0.688
Si  0.500  0.000  0.000


12.
HfTc3Bi after structural relaxation. Source: Alexandria via LeMat-Bulk, functional PBE.

Results
Crystal system: cubic
N(E_F) (states/eV per cell): 9.6
Formation energy (eV/atom): 1.948
Symmetry: Pm-3m (221)

abc: 4.882 4.882 4.882
angles: 90.00 90.00 90.00
Fractional positions:
Tc  0.500  0.000  0.000
Tc  0.000  0.500  0.000
Tc  0.000  0.000  0.500
Hf  0.500  0.500  0.500
Bi  0.000  0.000  0.000


13.
Nd2Sm3Tm7 after structural relaxation. Source: Alexandria via LeMat-Bulk, functional PBE.

Results
Crystal system: monoclinic
N(E_F) (states/eV per cell): 17.6
Formation energy (eV/atom): 0.091
Symmetry: P2/m (10)

abc: 3.516 6.319 17.892
angles: 75.73 90.00 90.00
Fractional positions:
Tm  0.500  0.246  0.500
Tm  0.000  0.563  0.163
Tm  0.500  0.939  0.836
Tm  0.000  0.000  0.000
Tm  0.000  0.437  0.837
Tm  0.500  0.061  0.164
Tm  0.500  0.754  0.500
Nd  0.500  0.382  0.675
Nd  0.500  0.618  0.325
Sm  0.500  0.500  0.000
Sm  0.000  0.889  0.658
Sm  0.000  0.111  0.342


14.
Ti12InPb3 after structural relaxation. Source: Alexandria via LeMat-Bulk, functional PBE.

Results
Crystal system: orthorhombic
N(E_F) (states/eV per cell): 21.9
Formation energy (eV/atom): -0.078
Symmetry: Pmmm (47)

abc: 5.277 5.279 10.569
angles: 90.00 90.00 90.00
Fractional positions:
Ti  0.000  0.751  0.748
Ti  0.500  0.000  0.126
Ti  0.000  0.751  0.252
Ti  0.000  0.249  0.748
Ti  0.749  0.500  0.000
Ti  0.753  0.500  0.500
Ti  0.500  0.000  0.874
Ti  0.251  0.500  0.000
Ti  0.000  0.249  0.252
Ti  0.247  0.500  0.500
Ti  0.500  0.000  0.378
Ti  0.500  0.000  0.622
Pb  0.500  0.500  0.250
Pb  0.000  0.000  0.000
Pb  0.500  0.500  0.750
In  0.000  0.000  0.500


15.
Ca2NbPdF after structural relaxation. Source: Alexandria via LeMat-Bulk, functional PBE.

Results
Crystal system: tetragonal
N(E_F) (states/eV per cell): 4.0
Symmetry: P4/mmm (123)
Formation energy without anion corrections (kJ per mole of atoms): -1.4

abc: 5.849 4.055 5.849
angles: 90.00 90.00 90.00
Fractional positions:
Pd  0.500  0.500  0.500
Ca  0.000  0.000  0.500
Ca  0.500  0.000  0.000
F  0.000  0.500  0.000
Nb  0.000  0.000  0.000


16.
Ti2Be2Sb after structural relaxation. Source: Alexandria via LeMat-Bulk, functional PBE.

Results
Crystal system: tetragonal
N(E_F) (states/eV per cell): 5.0
Symmetry: P4/mmm (123)
Formation energy without anion corrections (kJ per mole of atoms): 113.0

abc: 4.440 4.440 5.065
angles: 90.00 90.00 90.00
Fractional positions:
Sb  0.000  0.000  0.000
Ti  0.500  0.500  0.500
Ti  0.000  0.000  0.500
Be  0.500  0.000  0.000
Be  0.000  0.500  0.000


17.
La2Y5Tm12 after structural relaxation. Source: Alexandria via LeMat-Bulk, functional PBE.

Results
Crystal system: monoclinic
N(E_F) (states/eV per cell): 27.8
Formation energy (eV/atom): 0.136
Symmetry: C2/m (12)

abc: 9.145 12.326 8.451
angles: 132.12 90.00 111.77
Fractional positions:
Tm  0.904  0.808  0.692
Tm  0.445  0.890  0.217
Tm  0.434  0.252  0.604
Tm  0.096  0.192  0.308
Tm  0.555  0.110  0.783
Tm  0.182  0.748  0.396
Tm  0.818  0.252  0.604
Tm  0.566  0.748  0.396
Tm  0.661  0.684  0.933
Tm  0.339  0.316  0.067
Tm  0.023  0.684  0.933
Tm  0.977  0.316  0.067
La  0.693  0.000  0.000
La  0.307  0.000  0.000
Y  0.000  0.000  0.500
Y  0.697  0.395  0.390
Y  0.303  0.605  0.610
Y  0.235  0.471  0.892
Y  0.765  0.529  0.108


18.
BaH3Pd after structural relaxation. Source: Alexandria via LeMat-Bulk, functional PBE.

Results
Crystal system: hexagonal
N(E_F) (states/eV per cell): 5.4
Calculated total energy (eV for the cell shown): -36.96
Symmetry: P6_3/mmc (194)

abc: 4.936 4.936 7.301
angles: 90.00 90.00 120.00
Fractional positions:
H  0.667  0.333  0.805
H  0.000  0.000  0.750
H  0.667  0.333  0.695
H  0.333  0.667  0.195
H  0.333  0.667  0.305
H  0.000  0.000  0.250
Ba  0.333  0.667  0.750
Ba  0.667  0.333  0.250
Pd  0.000  0.000  0.500
Pd  0.000  0.000  0.000


19.
Ta2MnB2Ru5 after structural relaxation. Source: Alexandria via LeMat-Bulk, functional PBE.

Results
Crystal system: tetragonal
N(E_F) (states/eV per cell): 7.5
Formation energy (eV/atom): -0.445
Symmetry: P4/mbm (127)

abc: 2.999 9.290 9.290
angles: 90.00 90.00 90.00
Fractional positions:
B  0.000  0.376  0.124
B  0.000  0.624  0.876
B  0.000  0.876  0.376
B  0.000  0.124  0.624
Mn  0.000  0.000  0.000
Mn  0.000  0.500  0.500
Ru  0.500  0.929  0.214
Ru  0.500  0.071  0.786
Ru  0.500  0.571  0.714
Ru  0.500  0.500  0.000
Ru  0.500  0.429  0.286
Ru  0.500  0.786  0.929
Ru  0.500  0.214  0.071
Ru  0.500  0.714  0.429
Ru  0.500  0.286  0.571
Ru  0.500  0.000  0.500
Ta  0.000  0.823  0.677
Ta  0.000  0.177  0.323
Ta  0.000  0.323  0.823
Ta  0.000  0.677  0.177


20.
Ti2GaS after structural relaxation. Source: Alexandria via LeMat-Bulk, functional PBE.

Results
Crystal system: trigonal
N(E_F) (states/eV per cell): 3.9
Symmetry: R3m (160)
Formation energy without anion corrections (kJ per mole of atoms): -79.6

abc: 3.320 3.320 7.110
angles: 76.50 76.50 60.00
Fractional positions:
Ga  0.499  0.499  0.503
Ti  0.266  0.266  0.203
Ti  0.068  0.068  0.795
S  0.667  0.667  0.999